# YPuCoPd, optimized geometry, DFT PBE
# - space group = No. 216
# - total moment (μB per cell) = 20.12
# - N(E_F) (states/eV/cell) = 47.69
# - energy of formation (meV/atom) = -252.9
# - E_tot (eV/atom) = -8.527
data_YPuCoPd
_chemical_formula_sum 'Y4 Pu4 Co4 Pd4'
_cell_length_a 6.885
_cell_length_b 6.885
_cell_length_c 6.885
_cell_angle_alpha 90.00
_cell_angle_beta 90.00
_cell_angle_gamma 90.00
_space_group_name_H-M_alt 'P 1'
_space_group_IT_number 1
loop_
_space_group_symop_operation_xyz
'x,y,z'
loop_
_atom_site_label
_atom_site_type_symbol
_atom_site_fract_x
_atom_site_fract_y
_atom_site_fract_z
Y1 Y 0.000 0.000 0.000
Y2 Y 0.000 0.500 0.500
Y3 Y 0.500 0.000 0.500
Y4 Y 0.500 0.500 0.000
Pu1 Pu 0.000 0.000 0.500
Pu2 Pu 0.000 0.500 0.000
Pu3 Pu 0.500 0.000 0.000
Pu4 Pu 0.500 0.500 0.500
Co1 Co 0.250 0.250 0.750
Co2 Co 0.250 0.750 0.250
Co3 Co 0.750 0.250 0.250
Co4 Co 0.750 0.750 0.750
Pd1 Pd 0.250 0.250 0.250
Pd2 Pd 0.250 0.750 0.750
Pd3 Pd 0.750 0.250 0.750
Pd4 Pd 0.750 0.750 0.250